Entry 1:
The following is a DFT calculation (PBE) of a relaxed B5C7 crystal.

Lattice parameters (Å, degrees): 5.9098 6.0839 3.8287 89.79 90.02 144.71
Positions (direct):
C  0.9804  0.5001  0.7611
C  0.6715  0.8082  0.7491
C  0.5084  0.4981  0.5063
C  0.6701  0.3528  0.9980
C  0.3435  0.1800  0.7583
C  0.8404  0.6715  0.2381
C  0.9983  0.9897  0.9914
B  0.7936  0.1432  0.5535
B  0.5312  0.0393  0.2127
B  0.3585  0.7056  0.9269
B  0.1705  0.8397  0.5306
B  0.1336  0.2717  0.2739

Output
Excess energy over the best structure of this formula in the dataset = 0.145 eV per atom
Energy of formation = 38.9 kJ/mol of atoms

---

Entry 2:
The following is a DFT calculation (PBE) of a relaxed Be2Zn3Cu4 crystal.

Lattice parameters (Å, degrees): 2.8414 4.6607 8.8670 107.57 90.00 107.75
Positions (direct):
Zn  0.3378  0.6756  0.4293
Zn  0.0000  0.0000  0.0000
Zn  0.6622  0.3244  0.5707
Be  0.6687  0.3374  0.2136
Be  0.3313  0.6626  0.7864
Cu  0.9766  0.9533  0.6801
Cu  0.6779  0.3558  0.8817
Cu  0.3221  0.6442  0.1183
Cu  0.0234  0.0467  0.3199

Output
Energy of formation = -3.1 kJ/mol of atoms

---

Entry 3:
The following is a DFT calculation (PBE) of a relaxed BaNi3 crystal.

Lattice parameters (Å, degrees): 4.0978 4.0978 4.1057 90.00 90.00 89.96
Site moments in Bohr magnetons follow the coordinates.
Positions (direct):
Ni  0.0000  0.5000  0.5000  0.24
Ni  0.5000  0.0000  0.5000  0.24
Ni  0.5000  0.5000  0.0000  0.24
Ba  0.0000  0.0000  0.0000  -0.03

Output
Energy of formation = 64.1 kJ/mol of atoms

---

Entry 4:
The following is a DFT calculation (PBE) of a relaxed Pm3GeBr7 crystal.

Lattice parameters (Å, degrees): 6.7358 8.6715 8.6715 120.00 90.00 90.00
Site moments in Bohr magnetons follow the coordinates.
Positions (direct):
Br  0.5546  0.8255  0.6510  0.01
Br  0.0246  0.6667  0.3333  0.03
Br  0.0216  0.6449  0.8224  0.02
Br  0.5546  0.3490  0.1745  0.01
Br  0.0216  0.1776  0.3551  0.02
Br  0.5546  0.8255  0.1745  0.01
Br  0.0216  0.1776  0.8224  0.02
Pm  0.7783  0.0071  0.5036  0.11
Pm  0.7783  0.4964  0.5036  0.11
Pm  0.7783  0.4964  0.9929  0.11
Ge  0.5271  0.3333  0.6667  0.57

Output
E_tot = -4.23 eV/atom